Model a:
The following is a DFT calculation (PBE) of YHPdAu2 after structural relaxation.

Properties
**SG**: P4/mmm, No. 123
**Crystal system**: tetragonal
**Density**: 12.024 g/cm3
**Total moment**: 0.0 μB/f.u.

```
YHPdAu2
1.0
4.357 0.000 0.000
0.000 4.357 0.000
0.000 0.000 4.295
Y H Pd Au
1 1 1 2
direct
0.000 0.000 0.000
0.000 0.000 0.500
0.500 0.500 0.000
0.000 0.500 0.500
0.500 0.000 0.500
```

Model b:
The following is a DFT calculation (PBE) of YHPdAu2 after structural relaxation.

Properties
**SG**: P4/mmm, No. 123
**Crystal system**: tetragonal
**Density**: 11.942 g/cm3
**Total moment**: 0.0 μB/f.u.

```
YHPdAu2
1.0
4.534 0.000 0.000
0.000 4.534 0.000
0.000 0.000 3.992
Y H Pd Au
1 1 1 2
direct
0.000 0.000 0.000
0.500 0.500 0.500
0.500 0.500 0.000
0.000 0.500 0.500
0.500 0.000 0.500
```

model a wins, 48 meV/atom ahead of the next structure.

Model a:
The following is a DFT calculation (PBE) of Y2HPdAu after structural relaxation.

Properties
**SG**: P4/mmm, No. 123
**Crystal system**: tetragonal
**Density**: 8.606 g/cm3
**Total moment**: 0.0 μB/f.u.

```
Y2HPdAu
1.0
4.998 0.000 0.000
0.000 4.998 0.000
0.000 0.000 3.725
Y H Pd Au
2 1 1 1
direct
0.000 0.500 0.000
0.500 0.000 0.000
0.000 0.000 0.000
0.000 0.000 0.500
0.500 0.500 0.500
```

Model b:
The following is a DFT calculation (PBE) of Y2HPdAu after structural relaxation.

Properties
**SG**: P4/mmm, No. 123
**Crystal system**: tetragonal
**Density**: 8.597 g/cm3
**Total moment**: 0.0 μB/f.u.

```
Y2HPdAu
1.0
4.917 0.000 0.000
0.000 4.917 0.000
0.000 0.000 3.853
Y H Pd Au
2 1 1 1
direct
0.000 0.500 0.000
0.500 0.000 0.000
0.000 0.000 0.000
0.500 0.500 0.500
0.000 0.000 0.500
```

model a wins, 106 meV/atom ahead of the next structure.

Model a:
The following is a DFT calculation (PBE) of Zr2HPdAu after structural relaxation.

Properties
**SG**: P4/mmm, No. 123
**Crystal system**: tetragonal
**Density**: 10.271 g/cm3
**Total moment**: 0.0 μB/f.u.

```
Zr2HPdAu
1.0
4.306 0.000 0.000
0.000 4.306 0.000
0.000 0.000 4.244
Zr H Pd Au
2 1 1 1
direct
0.000 0.500 0.000
0.500 0.000 0.000
0.000 0.000 0.000
0.500 0.500 0.500
0.000 0.000 0.500
```

Model b:
The following is a DFT calculation (PBE) of Zr2HPdAu after structural relaxation.

Properties
**SG**: P4/mmm, No. 123
**Crystal system**: tetragonal
**Density**: 10.251 g/cm3
**Total moment**: 0.4 μB/f.u.

```
Zr2HPdAu
1.0
4.408 0.000 0.000
0.000 4.408 0.000
0.000 0.000 4.058
Zr H Pd Au
2 1 1 1
direct
0.000 0.500 0.000
0.500 0.000 0.000
0.000 0.000 0.000
0.000 0.000 0.500
0.500 0.500 0.500
```

model b wins, 69 meV/atom ahead of the next structure.

Model a:
The following is a DFT calculation (PBE) of PmHAu after structural relaxation.

Properties
**SG**: P2_1/m, No. 11
**Crystal system**: monoclinic
**Density**: 10.679 g/cm3
**Total moment**: 0.0 μB/f.u.

```
PmHAu
1.0
3.843 0.000 0.000
0.000 3.838 0.000
-0.033 0.000 7.231
Pm H Au
2 2 2
direct
0.248 0.250 0.316
0.752 0.750 0.684
0.249 0.750 0.500
0.751 0.250 0.500
0.253 0.250 0.890
0.747 0.750 0.110
```

Model b:
The following is a DFT calculation (PBE) of PmHAu after structural relaxation.

Properties
**SG**: P3m1, No. 156
**Crystal system**: trigonal
**Density**: 9.849 g/cm3
**Total moment**: 0.0 μB/f.u.

```
PmHAu
1.0
3.944 0.000 0.000
-1.972 3.416 0.000
0.000 0.000 4.293
Pm H Au
1 1 1
direct
0.000 0.000 0.000
0.333 0.667 0.001
0.667 0.333 0.500
```

model a wins, 223 meV/atom ahead of the next structure.

Model a:
The following is a DFT calculation (PBE) of PmHAu after structural relaxation.

Properties
**SG**: I4mm, No. 107
**Crystal system**: tetragonal
**Density**: 9.746 g/cm3
**Total moment**: 0.0 μB/f.u.

```
PmHAu
1.0
-1.743 1.743 4.808
1.743 -1.743 4.808
1.743 1.743 -4.808
Pm H Au
1 1 1
direct
0.000 0.000 0.000
0.468 0.468 0.000
0.696 0.696 0.000
```

Model b:
The following is a DFT calculation (PBE) of PmHAu after structural relaxation.

Properties
**SG**: R-3m, No. 166
**Crystal system**: trigonal
**Density**: 9.664 g/cm3
**Total moment**: 0.0 μB/f.u.

```
PmHAu
1.0
1.995 1.152 8.552
-1.995 1.152 8.552
0.000 -2.303 8.552
Pm H Au
2 2 2
direct
0.224 0.224 0.224
0.776 0.776 0.776
0.135 0.135 0.135
0.865 0.865 0.865
0.366 0.366 0.366
0.634 0.634 0.634
```

model b wins, 249 meV/atom ahead of the next structure.

Model a:
The following is a DFT calculation (PBE) of Pm2HAu after structural relaxation.

Properties
**SG**: R-3m, No. 166
**Crystal system**: trigonal
**Density**: 8.807 g/cm3
**Total moment**: 0.2 μB/f.u.

```
Pm2HAu
1.0
1.980 1.143 6.774
-1.980 1.143 6.774
0.000 -2.286 6.774
Pm H Au
2 1 1
direct
0.237 0.237 0.237
0.763 0.763 0.763
0.500 0.500 0.500
0.000 0.000 0.000
```

Model b:
The following is a DFT calculation (PBE) of Pm2HAu after structural relaxation.

Properties
**SG**: P4/mmm, No. 123
**Crystal system**: tetragonal
**Density**: 9.565 g/cm3
**Total moment**: 0.5 μB/f.u.

```
Pm2HAu
1.0
3.410 0.000 0.000
0.000 3.410 0.000
0.000 0.000 7.286
Pm H Au
2 1 1
direct
0.000 0.000 0.229
0.000 0.000 0.771
0.500 0.500 0.000
0.500 0.500 0.500
```

Model c:
The following is a DFT calculation (PBE) of Pm2HAu after structural relaxation.

Properties
**SG**: P-3m1, No. 164
**Crystal system**: trigonal
**Density**: 9.102 g/cm3
**Total moment**: 0.2 μB/f.u.

```
Pm2HAu
1.0
3.807 0.000 0.000
-1.903 3.297 0.000
0.000 0.000 7.095
Pm H Au
2 1 1
direct
0.333 0.667 0.202
0.667 0.333 0.798
0.000 0.000 0.000
0.000 0.000 0.500
```

model c wins, 14 meV/atom ahead of the next structure.

Model a:
The following is a DFT calculation (PBE) of PmH2Au after structural relaxation.

Properties
**SG**: Fm-3m, No. 225
**Crystal system**: cubic
**Density**: 10.313 g/cm3
**Total moment**: 0.0 μB/f.u.

```
PmH2Au
1.0
0.000 3.025 3.025
3.025 0.000 3.025
3.025 3.025 0.000
Pm H Au
1 2 1
direct
0.000 0.000 0.000
0.250 0.250 0.250
0.750 0.750 0.750
0.500 0.500 0.500
```

Model b:
The following is a DFT calculation (PBE) of PmH2Au after structural relaxation.

Properties
**SG**: Pnma, No. 62
**Crystal system**: orthorhombic
**Density**: 10.153 g/cm3
**Total moment**: 0.0 μB/f.u.

```
PmH2Au
1.0
7.153 0.000 0.000
0.000 4.970 0.000
0.000 0.000 6.330
Pm H Au
4 8 4
direct
0.167 0.250 0.148
0.333 0.750 0.648
0.667 0.250 0.352
0.833 0.750 0.852
0.114 0.514 0.854
0.114 0.986 0.854
0.386 0.014 0.354
0.386 0.486 0.354
0.614 0.514 0.646
0.614 0.986 0.646
0.886 0.014 0.146
0.886 0.486 0.146
0.035 0.250 0.624
0.465 0.750 0.124
0.535 0.250 0.876
0.965 0.750 0.376
```

model b wins, 148 meV/atom ahead of the next structure.

Model a:
The following is a DFT calculation (PBE) of Pr2H2Au after structural relaxation.

Properties
**SG**: I4/mmm, No. 139
**Crystal system**: tetragonal
**Density**: 8.450 g/cm3
**Total moment**: 0.0 μB/f.u.

```
Pr2H2Au
1.0
-1.901 1.901 6.535
1.901 -1.901 6.535
1.901 1.901 -6.535
Pr H Au
2 2 1
direct
0.143 0.143 0.000
0.857 0.857 0.000
0.250 0.750 0.500
0.750 0.250 0.500
0.500 0.500 0.000
```

Model b:
The following is a DFT calculation (PBE) of Pr2H2Au after structural relaxation.

Properties
**SG**: P4/mmm, No. 123
**Crystal system**: tetragonal
**Density**: 8.368 g/cm3
**Total moment**: 0.0 μB/f.u.

```
Pr2H2Au
1.0
3.657 0.000 0.000
0.000 3.657 0.000
0.000 0.000 7.133
Pr H Au
2 2 1
direct
0.000 0.000 0.233
0.000 0.000 0.767
0.000 0.500 0.000
0.500 0.000 0.000
0.500 0.500 0.500
```

model a wins, 158 meV/atom ahead of the next structure.